1.
Pm4Mg5Ge6: relaxed, PBE.

Unit cell a=10.198 b=10.198 c=15.865 alpha=90.00 beta=90.00 gamma=154.82
Element x y z (fractional)
Pm1 0.012 0.988 0.500
Pm2 0.033 0.967 0.763
Pm3 0.164 0.836 0.300
Pm4 0.175 0.825 0.940
Pm5 0.825 0.175 0.440
Pm6 0.836 0.164 0.800
Pm7 0.967 0.033 0.263
Pm8 0.988 0.012 0.000
Mg1 0.155 0.845 0.621
Mg2 0.303 0.697 0.617
Mg3 0.339 0.661 0.266
Mg4 0.350 0.650 0.976
Mg5 0.442 0.558 0.669
Mg6 0.558 0.442 0.169
Mg7 0.650 0.350 0.476
Mg8 0.661 0.339 0.766
Mg9 0.697 0.303 0.117
Mg10 0.845 0.155 0.121
Ge1 0.114 0.886 0.116
Ge2 0.227 0.773 0.474
Ge3 0.234 0.766 0.764
Ge4 0.428 0.572 0.125
Ge5 0.432 0.568 0.401
Ge6 0.445 0.555 0.849
Ge7 0.555 0.445 0.349
Ge8 0.568 0.432 0.901
Ge9 0.572 0.428 0.625
Ge10 0.766 0.234 0.264
Ge11 0.773 0.227 0.974
Ge12 0.886 0.114 0.616

Output
Its space group is Cmc2_1, No. 36. The calculated total energy is -4.263 eV per atom. The formation enthalpy at 0 K is -0.6175 eV per atom. As for the crystal system: orthorhombic.

2.
TlSn2Bi: relaxed, PBE.

Unit cell a=8.377 b=8.377 c=8.377 alpha=131.70 beta=131.70 gamma=70.70
Element x y z (fractional)
Tl1 0.000 0.000 0.000
Tl2 0.750 0.250 0.500
Sn1 0.115 0.625 0.990
Sn2 0.375 0.365 0.490
Sn3 0.635 0.125 0.010
Sn4 0.875 0.885 0.510
Bi1 0.250 0.750 0.500
Bi2 0.500 0.500 0.000

Output
The energy above the most stable polymorph in this dataset comes out at 42.7 kJ/mol of formula units. Its space group is I-42d, No. 122. The calculated total energy is -3.397 eV per atom. The formation enthalpy at 0 K is 0.1663 eV per atom. As for the crystal system: tetragonal.

3.
Li2CaPaSe4: relaxed, PBE.

Unit cell a=7.116 b=7.116 c=7.116 alpha=132.18 beta=132.18 gamma=69.94
Element x y z (fractional)
Li1 0.000 0.000 0.000
Li2 0.750 0.250 0.500
Ca1 0.250 0.750 0.500
Pa1 0.500 0.500 0.000
Se1 0.259 0.259 0.000
Se2 0.503 0.003 0.500
Se3 0.741 0.741 0.000
Se4 0.997 0.497 0.500

Output
Its space group is I-4m2, No. 119. The calculated total energy is -5.124 eV per atom. As for the crystal system: tetragonal. The value obtained for the uncorrected formation energy is -1.47 eV/atom.

4.
Ni2AgMo: relaxed, PBE.

Unit cell a=4.848 b=4.848 c=4.567 alpha=104.81 beta=104.81 gamma=31.97
Element x y z (fractional)
Ni1 0.000 0.000 0.000
Ni2 0.716 0.716 0.298
Ag1 0.474 0.474 0.488
Mo1 0.253 0.253 0.829

Output
The energy above the most stable polymorph in this dataset comes out at 55.8 kJ/mol of formula units. Its space group is Cm, No. 8. The calculated total energy is -6.069 eV per atom. The formation enthalpy at 0 K is 0.2418 eV per atom. As for the crystal system: monoclinic.